Below is an optimized crystal structure of UPa2N6, with properties calculated at the PBE level.

uncorrected formation energy = -1.30 eV/atom

Cell lengths 6.5789, 6.5789, 6.5789 Å; angles 146.32, 131.80, 60.09 degrees
Fractional coordinates of all 9 atoms:
U  0.0000  0.0000  0.0000
Pa  0.3337  0.3337  0.0000
Pa  0.6663  0.6663  0.0000
N  0.0823  0.8370  0.2453
N  0.2403  0.5000  0.7403
N  0.4083  0.1630  0.2453
N  0.5917  0.8370  0.7547
N  0.7597  0.5000  0.2597
N  0.9177  0.1630  0.7547

***

Below is an optimized crystal structure of UPa2N3, with properties calculated at the PBE level.

uncorrected formation energy = -1.52 eV/atom

Cell lengths 3.4864, 4.9207, 10.4760 Å; angles 90.00, 90.00, 90.00 degrees
Fractional coordinates of all 12 atoms:
U  0.0000  0.0000  0.0000
U  0.5000  0.5000  0.5000
Pa  0.0000  0.0000  0.3334
Pa  0.0000  0.0000  0.6666
Pa  0.5000  0.5000  0.1666
Pa  0.5000  0.5000  0.8334
N  0.0000  0.5000  0.0000
N  0.0000  0.5000  0.3349
N  0.0000  0.5000  0.6651
N  0.5000  0.0000  0.1651
N  0.5000  0.0000  0.5000
N  0.5000  0.0000  0.8349

***

Below is an optimized crystal structure of U2Pa2N7, with properties calculated at the PBE level.

energy relative to the lowest polymorph listed for this composition = 0 meV per atom
uncorrected formation energy = -1.59 eV/atom

Cell lengths 7.5619, 7.5619, 7.5619 Å; angles 60.00, 60.00, 60.00 degrees
Fractional coordinates of all 22 atoms:
U  0.0000  0.0000  0.0000
U  0.0000  0.0000  0.5000
U  0.0000  0.5000  0.0000
U  0.5000  0.0000  0.0000
Pa  0.0000  0.5000  0.5000
Pa  0.5000  0.0000  0.5000
Pa  0.5000  0.5000  0.0000
Pa  0.5000  0.5000  0.5000
N  0.1033  0.1033  0.6467
N  0.1033  0.6467  0.1033
N  0.1033  0.6467  0.6467
N  0.3533  0.3533  0.8967
N  0.3533  0.8967  0.3533
N  0.3533  0.8967  0.8967
N  0.3750  0.3750  0.3750
N  0.6250  0.6250  0.6250
N  0.6467  0.1033  0.1033
N  0.6467  0.1033  0.6467
N  0.6467  0.6467  0.1033
N  0.8967  0.3533  0.3533
N  0.8967  0.3533  0.8967
N  0.8967  0.8967  0.3533

***

| no. | uncorrected energy (eV per cell) | DOS at the Fermi energy (states/eV per atom) |
| --- | --- | --- |
| 1 | -92.0 | 0.852 |
| 2 | -128.7 | 1.300 |
| 3 | -234.7 | 0.144 |